Computed, not measured: a relaxed structure of Rb2MgFeO4 at the PBE with a Hubbard U level of DFT. Values from VASP.

Geometry as Quantum ESPRESSO input:
```
&SYSTEM
  ibrav = 0, nat = 16, ntyp = 4
/
ATOMIC_SPECIES
Rb 85.47 Rb.upf
Mg 24.30 Mg.upf
Fe 55.84 Fe.upf
O 16.00 O.upf
ATOMIC_POSITIONS angstrom
Rb 1.9849 4.6755 1.1569
Rb 3.3082 7.7924 6.2902
Rb 1.9849 4.6755 14.2429
Rb 3.3082 7.7924 19.3761
Mg 0.6616 1.5585 2.5666
Mg 4.6315 10.9094 17.9664
Fe 1.9849 4.6755 7.6999
Fe 3.3082 7.7924 12.8331
O 3.2137 3.5460 6.9485
O 3.2137 5.8049 8.4513
O 4.5370 6.6629 13.5846
O 4.5370 8.9219 12.0817
O 0.7561 3.5460 8.4513
O 0.7561 5.8049 6.9485
O 2.0794 6.6629 12.0817
O 2.0794 8.9219 13.5846
CELL_PARAMETERS angstrom
0.0000 6.2339 10.2665
2.6466 0.0000 10.2665
2.6466 6.2339 0.0000
```

Properties
Magnetic moment ... 8.0 μB/cell
Calculated total energy ... -0.18924 Ha/atom
Crystal system ... orthorhombic